## Zr4NiC2 (GGA-PBE)

Data for a geometry-optimized Zr4NiC2 structure.

Computed properties:
For the total energy, the calculation gives -8.957 eV per atom. As for the symmetry: Cmcm. The formation energy comes out at -413 kJ/mol of formula units. The crystal system is orthorhombic.

a b c (Å): 5.822 5.822 11.903
angles (deg): 90.00 90.00 146.42
Atoms (fractional coordinates):
Zr 0.000 0.000 0.000
Zr 0.000 0.000 0.500
Zr 0.268 0.732 0.610
Zr 0.268 0.732 0.890
Zr 0.438 0.562 0.250
Zr 0.562 0.438 0.750
Zr 0.732 0.268 0.110
Zr 0.732 0.268 0.390
Ni 0.111 0.889 0.250
Ni 0.889 0.111 0.750
C 0.364 0.636 0.061
C 0.364 0.636 0.439
C 0.636 0.364 0.561
C 0.636 0.364 0.939